# 1
This record from the Alexandria database describes a relaxed structure of Mn2Re. The functional is PBE-GGA.

Structure (POSCAR):
```
Mn2Re
1.0
4.6643 0.0000 0.0000
-2.3321 4.0394 0.0000
0.0000 0.0000 15.3039
Mn Re
16 8
Direct
0.0000 0.5000 0.0000
0.0000 0.5000 0.5000
0.1589 0.3178 0.2500
0.1589 0.8411 0.2500
0.3178 0.1589 0.7500
0.3333 0.6667 0.1289
0.3333 0.6667 0.3711
0.5000 0.0000 0.0000
0.5000 0.0000 0.5000
0.5000 0.5000 0.0000
0.5000 0.5000 0.5000
0.6667 0.3333 0.6289
0.6667 0.3333 0.8711
0.6822 0.8411 0.2500
0.8411 0.1589 0.7500
0.8411 0.6822 0.7500
0.0000 0.0000 0.0905
0.0000 0.0000 0.4095
0.0000 0.0000 0.5905
0.0000 0.0000 0.9095
0.3333 0.6667 0.6564
0.3333 0.6667 0.8436
0.6667 0.3333 0.1564
0.6667 0.3333 0.3436
```

DFT total energy (eV per atom): -10.37
M_tot (μB/atom): 0.019
ΔE_f (eV per atom): -0.105
DOS at the Fermi energy (states/eV per cell): 17.56


# 2
This record from the Alexandria database describes a relaxed structure of MnRe5. The functional is PBE-GGA.

Structure (POSCAR):
```
MnRe5
1.0
10.0666 0.0000 0.0000
0.0000 2.7533 0.0000
-1.6651 0.0000 6.2459
Mn Re
2 10
Direct
0.0000 0.0000 0.0000
0.5000 0.5000 0.0000
0.0536 0.0000 0.6105
0.1630 0.5000 0.3247
0.2175 0.5000 0.9420
0.3375 0.0000 0.6703
0.3920 0.0000 0.2648
0.5536 0.5000 0.6105
0.6630 0.0000 0.3247
0.7175 0.0000 0.9420
0.8375 0.5000 0.6703
0.8920 0.5000 0.2648
```

DFT total energy (eV per atom): -11.85
M_tot (μB/atom): 0.063
ΔE_f (eV per atom): 0.049
Energy above the lowest structure with this stoichiometry (eV/atom): 0.007
DOS at the Fermi energy (states/eV per cell): 12.33


# 3
This record from the Alexandria database describes a relaxed structure of Mn2Re. The functional is PBE-GGA.

Structure (POSCAR):
```
Mn2Re
1.0
4.1353 0.0000 0.0000
-2.0676 3.5813 0.0000
0.0000 0.0000 5.0571
Mn Re
4 2
Direct
0.0000 0.0000 0.0000
0.0000 0.0000 0.5000
0.3333 0.6667 0.2500
0.6667 0.3333 0.7500
0.3333 0.6667 0.7500
0.6667 0.3333 0.2500
```

DFT total energy (eV per atom): -10.08
M_tot (μB/atom): 0.157
ΔE_f (eV per atom): 0.182
DOS at the Fermi energy (states/eV per cell): 7.08


# 4
This record from the Alexandria database describes a relaxed structure of Mn2Re. The functional is PBE-GGA.

Structure (POSCAR):
```
Mn2Re
1.0
2.6350 0.0000 0.0000
0.0000 13.4296 0.0000
0.0000 0.0000 4.2182
Mn Re
8 4
Direct
0.0000 0.0492 0.2500
0.0000 0.4008 0.2500
0.0000 0.5992 0.7500
0.0000 0.9508 0.7500
0.5000 0.0992 0.7500
0.5000 0.4508 0.7500
0.5000 0.5492 0.2500
0.5000 0.9008 0.2500
0.0000 0.2848 0.7500
0.0000 0.7152 0.2500
0.5000 0.2152 0.2500
0.5000 0.7848 0.7500
```

DFT total energy (eV per atom): -10.13
M_tot (μB/atom): 0.049
ΔE_f (eV per atom): 0.128
DOS at the Fermi energy (states/eV per cell): 19.59


# 5
This record from the Alexandria database describes a relaxed structure of MnRe5. The functional is PBE-GGA.

Structure (POSCAR):
```
MnRe5
1.0
2.7479 0.0000 0.0000
0.0000 2.7479 0.0000
0.0000 0.0000 11.4457
Mn Re
1 5
Direct
0.0000 0.0000 0.0000
0.0000 0.0000 0.3279
0.0000 0.0000 0.6721
0.5000 0.5000 0.1527
0.5000 0.5000 0.5000
0.5000 0.5000 0.8473
```

DFT total energy (eV per atom): -11.82
M_tot (μB/atom): 0.099
ΔE_f (eV per atom): 0.087
Energy above the lowest structure with this stoichiometry (eV/atom): 0.045
DOS at the Fermi energy (states/eV per cell): 6.12


# 6
This record from the Alexandria database describes a relaxed structure of Mn3Re. The functional is PBE-GGA.

Structure (POSCAR):
```
Mn3Re
1.0
2.6247 0.0000 0.0000
0.0000 3.6056 0.0000
0.0000 0.0000 5.2500
Mn Re
3 1
Direct
0.0000 0.0000 0.0000
0.5000 0.5000 0.2406
0.5000 0.5000 0.7594
0.0000 0.0000 0.5000
```

DFT total energy (eV per atom): -9.92
M_tot (μB/atom): 0.306
ΔE_f (eV per atom): 0.073
DOS at the Fermi energy (states/eV per cell): 4.64


# 7
This record from the Alexandria database describes a relaxed structure of Mn3Re. The functional is PBE-GGA.

Structure (POSCAR):
```
Mn3Re
1.0
8.2047 0.0000 0.0000
-4.1023 7.1055 0.0000
0.0000 0.0000 2.5589
Mn Re
9 3
Direct
0.0000 0.5000 0.0000
0.1667 0.3333 0.3333
0.1667 0.8333 0.3333
0.3333 0.1667 0.6667
0.5000 0.0000 0.0000
0.5000 0.5000 0.0000
0.6667 0.8333 0.3333
0.8333 0.1667 0.6667
0.8333 0.6667 0.6667
0.0000 0.0000 0.0000
0.3333 0.6667 0.6667
0.6667 0.3333 0.3333
```

DFT total energy (eV per atom): -9.85
M_tot (μB/atom): 1.080
ΔE_f (eV per atom): 0.137
DOS at the Fermi energy (states/eV per cell): 16.69


# 8
This record from the Alexandria database describes a relaxed structure of Mn3Re. The functional is PBE-GGA.

Structure (POSCAR):
```
Mn3Re
1.0
4.4982 0.0000 0.0000
0.0000 8.2747 0.0000
0.0000 0.0000 5.1316
Mn Re
12 4
Direct
0.0805 0.2500 0.1252
0.2325 0.5104 0.8742
0.2325 0.9896 0.8742
0.2675 0.0104 0.3742
0.2675 0.4896 0.3742
0.4195 0.7500 0.6252
0.5805 0.2500 0.3748
0.7325 0.5104 0.6258
0.7325 0.9896 0.6258
0.7675 0.0104 0.1258
0.7675 0.4896 0.1258
0.9195 0.7500 0.8748
0.0722 0.2500 0.6154
0.4278 0.7500 0.1154
0.5722 0.2500 0.8846
0.9278 0.7500 0.3846
```

DFT total energy (eV per atom): -9.92
M_tot (μB/atom): 0.000
ΔE_f (eV per atom): 0.066
DOS at the Fermi energy (states/eV per cell): 16.89